(1)
VASP calculation (PBE-GGA) on crystalline Th5TcSn2 at its relaxed geometry.

## Properties
ΔH_f (0 K), kJ/mol of atoms: -21.7
Excess energy over the best structure of this formula in the dataset, eV/atom: 0.187
Crystal system: orthorhombic

Cell and atoms, written as CIF:
```
data_Th5TcSn2
_cell_length_a 5.999
_cell_length_b 5.999
_cell_length_c 16.943
_cell_angle_alpha 90.00
_cell_angle_beta 90.00
_cell_angle_gamma 133.40
_symmetry_space_group_name_H-M 'P 1'
_symmetry_Int_Tables_number 1
_symmetry_space_group_name_Hall 'P 1'
loop_
_atom_site_label
_atom_site_type_symbol
_atom_site_fract_x
_atom_site_fract_y
_atom_site_fract_z
Th1 Th 0.043 0.957 0.750
Th2 Th 0.156 0.844 0.541
Th3 Th 0.156 0.844 0.959
Th4 Th 0.453 0.547 0.604
Th5 Th 0.453 0.547 0.896
Th6 Th 0.547 0.453 0.104
Th7 Th 0.547 0.453 0.396
Th8 Th 0.844 0.156 0.041
Th9 Th 0.844 0.156 0.459
Th10 Th 0.957 0.043 0.250
Tc1 Tc 0.334 0.666 0.750
Tc2 Tc 0.666 0.334 0.250
Sn1 Sn 0.247 0.753 0.161
Sn2 Sn 0.247 0.753 0.339
Sn3 Sn 0.753 0.247 0.661
Sn4 Sn 0.753 0.247 0.839
```


(2)
VASP calculation (PBE-GGA) on crystalline Ba2ZrSe at its relaxed geometry.

## Properties
Crystal system: orthorhombic
Final energy, eV per atom: -4.32

Cell and atoms, written as CIF:
```
data_Ba2ZrSe
_cell_length_a 3.894
_cell_length_b 3.894
_cell_length_c 9.609
_cell_angle_alpha 90.00
_cell_angle_beta 90.00
_cell_angle_gamma 90.18
_symmetry_space_group_name_H-M 'P 1'
_symmetry_Int_Tables_number 1
_symmetry_space_group_name_Hall 'P 1'
loop_
_atom_site_label
_atom_site_type_symbol
_atom_site_fract_x
_atom_site_fract_y
_atom_site_fract_z
Ba1 Ba 0.000 0.000 0.204
Ba2 Ba 0.000 0.000 0.796
Zr1 Zr 0.500 0.500 0.500
Se1 Se 0.500 0.500 0.000
```


(3)
VASP calculation (PBE-GGA) on crystalline In2Co at its relaxed geometry.

## Properties
ΔH_f (0 K), kJ/mol of atoms: 20.2
Crystal system: monoclinic

Cell and atoms, written as CIF:
```
data_In2Co
_cell_length_a 6.353
_cell_length_b 6.353
_cell_length_c 7.025
_cell_angle_alpha 116.99
_cell_angle_beta 116.99
_cell_angle_gamma 27.78
_symmetry_space_group_name_H-M 'P 1'
_symmetry_Int_Tables_number 1
_symmetry_space_group_name_Hall 'P 1'
loop_
_atom_site_label
_atom_site_type_symbol
_atom_site_fract_x
_atom_site_fract_y
_atom_site_fract_z
In1 In 0.051 0.051 0.271
In2 In 0.313 0.313 0.279
In3 In 0.687 0.687 0.721
In4 In 0.949 0.949 0.729
Co1 Co 0.378 0.378 0.968
Co2 Co 0.622 0.622 0.032
```


(4)
VASP calculation (PBE-GGA) on crystalline InPd3Se at its relaxed geometry.

## Properties
Excess energy over the best structure of this formula in the dataset, eV/atom: 0.000
Crystal system: monoclinic

Cell and atoms, written as CIF:
```
data_InPd3Se
_cell_length_a 7.326
_cell_length_b 7.326
_cell_length_c 7.002
_cell_angle_alpha 101.60
_cell_angle_beta 101.60
_cell_angle_gamma 82.93
_symmetry_space_group_name_H-M 'P 1'
_symmetry_Int_Tables_number 1
_symmetry_space_group_name_Hall 'P 1'
loop_
_atom_site_label
_atom_site_type_symbol
_atom_site_fract_x
_atom_site_fract_y
_atom_site_fract_z
In1 In 0.030 0.970 0.750
In2 In 0.364 0.636 0.250
In3 In 0.636 0.364 0.750
In4 In 0.970 0.030 0.250
Pd1 Pd 0.013 0.691 0.980
Pd2 Pd 0.039 0.701 0.404
Pd3 Pd 0.254 0.332 0.381
Pd4 Pd 0.299 0.961 0.096
Pd5 Pd 0.309 0.987 0.520
Pd6 Pd 0.332 0.254 0.881
Pd7 Pd 0.668 0.746 0.119
Pd8 Pd 0.691 0.013 0.480
Pd9 Pd 0.701 0.039 0.904
Pd10 Pd 0.746 0.668 0.619
Pd11 Pd 0.961 0.299 0.596
Pd12 Pd 0.987 0.309 0.020
Se1 Se 0.203 0.522 0.720
Se2 Se 0.478 0.797 0.780
Se3 Se 0.522 0.203 0.220
Se4 Se 0.797 0.478 0.280
```


(5)
VASP calculation (PBE-GGA) on crystalline SrTcPH at its relaxed geometry.

## Properties
Crystal system: tetragonal
Final energy, eV per atom: -5.90

Cell and atoms, written as CIF:
```
data_SrTcPH
_cell_length_a 4.029
_cell_length_b 4.029
_cell_length_c 8.667
_cell_angle_alpha 90.00
_cell_angle_beta 90.00
_cell_angle_gamma 90.00
_symmetry_space_group_name_H-M 'P 1'
_symmetry_Int_Tables_number 1
_symmetry_space_group_name_Hall 'P 1'
loop_
_atom_site_label
_atom_site_type_symbol
_atom_site_fract_x
_atom_site_fract_y
_atom_site_fract_z
Sr1 Sr 0.250 0.250 0.159
Sr2 Sr 0.750 0.750 0.841
Tc1 Tc 0.250 0.750 0.500
Tc2 Tc 0.750 0.250 0.500
P1 P 0.250 0.250 0.648
P2 P 0.750 0.750 0.352
H1 H 0.250 0.750 0.000
H2 H 0.750 0.250 0.000
```


(6)
VASP calculation (PBE-GGA) on crystalline CaAlP2Os at its relaxed geometry.

## Properties
ΔH_f (0 K), kJ/mol of atoms: 12.5
Crystal system: tetragonal

Cell and atoms, written as CIF:
```
data_CaAlP2Os
_cell_length_a 4.704
_cell_length_b 4.704
_cell_length_c 4.760
_cell_angle_alpha 90.00
_cell_angle_beta 90.00
_cell_angle_gamma 90.00
_symmetry_space_group_name_H-M 'P 1'
_symmetry_Int_Tables_number 1
_symmetry_space_group_name_Hall 'P 1'
loop_
_atom_site_label
_atom_site_type_symbol
_atom_site_fract_x
_atom_site_fract_y
_atom_site_fract_z
Ca1 Ca 0.000 0.000 0.000
Al1 Al 0.500 0.500 0.000
P1 P 0.000 0.500 0.500
P2 P 0.500 0.000 0.500
Os1 Os 0.500 0.500 0.500
```


(7)
VASP calculation (PBE-GGA) on crystalline Nd4HoTl3 at its relaxed geometry.

## Properties
ΔH_f (0 K), kJ/mol of atoms: -23.1
Excess energy over the best structure of this formula in the dataset, eV/atom: 0.016
Crystal system: trigonal

Cell and atoms, written as CIF:
```
data_Nd4HoTl3
_cell_length_a 9.877
_cell_length_b 9.877
_cell_length_c 9.877
_cell_angle_alpha 32.48
_cell_angle_beta 32.48
_cell_angle_gamma 32.48
_symmetry_space_group_name_H-M 'P 1'
_symmetry_Int_Tables_number 1
_symmetry_space_group_name_Hall 'P 1'
loop_
_atom_site_label
_atom_site_type_symbol
_atom_site_fract_x
_atom_site_fract_y
_atom_site_fract_z
Nd1 Nd 0.114 0.114 0.114
Nd2 Nd 0.369 0.369 0.369
Nd3 Nd 0.631 0.631 0.631
Nd4 Nd 0.886 0.886 0.886
Ho1 Ho 0.500 0.500 0.500
Tl1 Tl 0.000 0.000 0.000
Tl2 Tl 0.236 0.236 0.236
Tl3 Tl 0.764 0.764 0.764
```


(8)
VASP calculation (PBE-GGA) on crystalline Rb2SbPbBr8 at its relaxed geometry.

## Properties
Crystal system: triclinic
Final energy, eV per atom: -2.89

Cell and atoms, written as CIF:
```
data_Rb2SbPbBr8
_cell_length_a 7.102
_cell_length_b 7.872
_cell_length_c 9.168
_cell_angle_alpha 89.85
_cell_angle_beta 89.82
_cell_angle_gamma 87.56
_symmetry_space_group_name_H-M 'P 1'
_symmetry_Int_Tables_number 1
_symmetry_space_group_name_Hall 'P 1'
loop_
_atom_site_label
_atom_site_type_symbol
_atom_site_fract_x
_atom_site_fract_y
_atom_site_fract_z
Rb1 Rb 0.001 0.000 0.255
Rb2 Rb 0.999 0.000 0.745
Sb1 Sb 0.500 0.500 0.500
Pb1 Pb 0.500 0.500 0.000
Br1 Br 0.266 0.392 0.283
Br2 Br 0.267 0.392 0.719
Br3 Br 0.271 0.817 0.999
Br4 Br 0.322 0.810 0.500
Br5 Br 0.678 0.190 0.500
Br6 Br 0.729 0.183 0.001
Br7 Br 0.733 0.608 0.281
Br8 Br 0.734 0.608 0.717
```


(9)
VASP calculation (PBE-GGA) on crystalline Be4Co5 at its relaxed geometry.

## Properties
ΔH_f (0 K), kJ/mol of atoms: -2.4
Excess energy over the best structure of this formula in the dataset, eV/atom: 0.153
Crystal system: tetragonal

Cell and atoms, written as CIF:
```
data_Be4Co5
_cell_length_a 5.771
_cell_length_b 5.771
_cell_length_c 5.771
_cell_angle_alpha 93.39
_cell_angle_beta 93.39
_cell_angle_gamma 151.84
_symmetry_space_group_name_H-M 'P 1'
_symmetry_Int_Tables_number 1
_symmetry_space_group_name_Hall 'P 1'
loop_
_atom_site_label
_atom_site_type_symbol
_atom_site_fract_x
_atom_site_fract_y
_atom_site_fract_z
Be1 Be 0.000 0.327 0.327
Be2 Be 0.000 0.673 0.673
Be3 Be 0.327 0.000 0.327
Be4 Be 0.673 0.000 0.673
Co1 Co 0.000 0.000 0.000
Co2 Co 0.332 0.332 0.664
Co3 Co 0.332 0.668 0.000
Co4 Co 0.668 0.332 0.000
Co5 Co 0.668 0.668 0.336
```


(10)
VASP calculation (PBE-GGA) on crystalline Ho2ZrTl3Se6 at its relaxed geometry.

## Properties
Crystal system: monoclinic
Final energy, eV per atom: -5.03

Cell and atoms, written as CIF:
```
data_Ho2ZrTl3Se6
_cell_length_a 7.025
_cell_length_b 7.025
_cell_length_c 8.237
_cell_angle_alpha 98.19
_cell_angle_beta 98.19
_cell_angle_gamma 120.00
_symmetry_space_group_name_H-M 'P 1'
_symmetry_Int_Tables_number 1
_symmetry_space_group_name_Hall 'P 1'
loop_
_atom_site_label
_atom_site_type_symbol
_atom_site_fract_x
_atom_site_fract_y
_atom_site_fract_z
Ho1 Ho 0.166 0.834 0.000
Ho2 Ho 0.834 0.166 0.000
Zr1 Zr 0.500 0.500 0.000
Tl1 Tl 0.000 0.000 0.500
Tl2 Tl 0.329 0.671 0.500
Tl3 Tl 0.671 0.329 0.500
Se1 Se 0.111 0.433 0.798
Se2 Se 0.246 0.246 0.205
Se3 Se 0.433 0.111 0.798
Se4 Se 0.567 0.889 0.202
Se5 Se 0.754 0.754 0.795
Se6 Se 0.889 0.567 0.202
```


(11)
VASP calculation (PBE-GGA) on crystalline KCa2As at its relaxed geometry.

## Properties
ΔH_f (0 K), kJ/mol of atoms: -56.6
Crystal system: trigonal

Cell and atoms, written as CIF:
```
data_KCa2As
_cell_length_a 11.659
_cell_length_b 11.659
_cell_length_c 11.659
_cell_angle_alpha 21.42
_cell_angle_beta 21.42
_cell_angle_gamma 21.42
_symmetry_space_group_name_H-M 'P 1'
_symmetry_Int_Tables_number 1
_symmetry_space_group_name_Hall 'P 1'
loop_
_atom_site_label
_atom_site_type_symbol
_atom_site_fract_x
_atom_site_fract_y
_atom_site_fract_z
K1 K 0.000 0.000 0.000
Ca1 Ca 0.123 0.123 0.123
Ca2 Ca 0.877 0.877 0.877
As1 As 0.500 0.500 0.500
```